Density functional theory data (PBE+U) for a geometry-optimized BaDyCo4O7 structure.

The structure in POSCAR format:
```
BaDyCo4O7
1.0
6.3238 0.0000 0.0000
-3.1619 5.4766 0.0000
0.0000 0.0000 10.3358
O Co Ba Dy
14 8 2 2
Cartesian
0.0000 0.0000 7.8012
4.7453 0.9114 0.0163
1.6261 2.7122 7.6489
0.0000 0.0000 2.6333
3.1619 0.0521 7.6489
-1.5358 2.7643 2.4810
1.5833 4.5652 5.1842
-1.5833 4.5652 5.1842
1.5358 2.7643 2.4810
0.0000 5.4245 2.4810
4.6977 2.7122 7.6489
3.1619 3.6538 0.0163
1.5786 0.9114 0.0163
0.0000 1.8228 5.1842
4.7216 0.9250 1.9441
1.6022 0.9250 1.9441
1.5597 4.5516 7.1120
0.0000 0.0000 4.5884
0.0000 1.8500 7.1120
-1.5597 4.5516 7.1120
3.1619 3.6265 1.9441
0.0000 0.0000 9.7563
3.1619 1.8255 5.3416
0.0000 3.6510 0.1738
0.0000 3.6510 3.8806
3.1619 1.8255 9.0485
```

Output
Magnetization: 1.000 μB per atom
Calculated total energy: -6.491 eV/atom